No. 1
SrBi | GGA-PBE | relaxed

Unit cell a=10.262 b=10.262 c=10.262 alpha=90.00 beta=90.00 gamma=90.00
Space group I-43m (No. 217)
Asymmetric unit:
Sr  0.185  0.185  0.185 [8 per cell]
Bi  0.131  0.131  0.869 [8 per cell]

## Properties
- E_form (meV per atom) = -109

=====

No. 2
HgH4Pd5 | GGA-PBE | relaxed

Unit cell a=5.717 b=8.255 c=4.825 alpha=90.00 beta=90.00 gamma=90.00
Space group Pmmn (No. 59, origin choice 2)
Asymmetric unit:
Hg  0.250  0.250  0.194 [2 per cell]
H  0.056  0.750  0.454 [4 per cell]
H  0.250  0.535  0.858 [4 per cell]
Pd  0.008  0.577  0.250 [8 per cell]
Pd  0.250  0.750  0.752 [2 per cell]

## Properties
- ΔE to the lowest computed polymorph (eV/f.u.) = 0.89